--- one ---
A relaxed structure of Er3AlO6. Source: the Alexandria database, functional GGA-PBE.

The structure belongs to space group R-3 (No. 148, hexagonal axes); the cell edges are 9.2210, 9.2210 and 10.5768 Å and the angles 90.00°, 90.00° and 120.00°. Symmetry generates all atoms from Er at (0.0418, 0.7739, 0.2030), Al at (0.0000, 0.0000, 0.0000), Al at (0.0000, 0.0000, 0.5000), O at (0.0273, 0.8458, 0.8894) and O at (0.0284, 0.8308, 0.4032).

--- two ---
A relaxed structure of Er3AlO6. Source: the Alexandria database, functional GGA-PBE.

The structure belongs to space group Cmc2_1 (No. 36); the cell edges are 8.788, 11.005 and 5.346 Å and the angles 90.00°, 90.00° and 90.00°. Symmetry generates all atoms from Er at (0.000, 0.102, 0.000), Er at (0.193, 0.394, 0.953), Al at (0.000, 0.306, 0.418), O at (0.000, 0.286, 0.749), O at (0.000, 0.456, 0.291), O at (0.154, 0.237, 0.252) and O at (0.160, 0.016, 0.725).

Relative to the most stable structure, the computed energies are one 19; two 0, all in meV per atom.

--- one ---
A relaxed structure of ErAl2O4. Source: the Alexandria database, functional GGA-PBE.

The structure belongs to space group P-42m (No. 111); the cell edges are 4.255, 4.255 and 5.475 Å and the angles 90.00°, 90.00° and 90.00°. Symmetry generates all atoms from Er at (0.000, 0.000, 0.000), Al at (0.000, 0.500, 0.500) and O at (0.239, 0.239, 0.319).

--- two ---
A relaxed structure of ErAl2O4. Source: the Alexandria database, functional GGA-PBE.

The structure belongs to space group C2 (No. 5); the cell edges are 9.736, 6.283 and 7.121 Å and the angles 90.00°, 129.44° and 90.00°. Symmetry generates all atoms from Er at (0.000, 0.000, 0.000), Er at (0.000, 0.264, 0.500), Al at (0.070, 0.673, 0.391), Al at (0.213, 0.445, 0.147), O at (0.059, 0.938, 0.748), O at (0.066, 0.445, 0.830), O at (0.197, 0.695, 0.263) and O at (0.210, 0.212, 0.286).

Relative to the most stable structure, the computed energies are one 123; two 0, all in meV per atom.

--- one ---
A relaxed structure of ErAl3Pd. Source: the Alexandria database, functional GGA-PBE.

The structure belongs to space group Pnma (No. 62); the cell edges are 8.300, 4.134 and 10.939 Å and the angles 90.00°, 90.00° and 90.00°. Symmetry generates all atoms from Er at (0.184, 0.250, 0.009), Al at (0.066, 0.250, 0.590), Al at (0.109, 0.750, 0.796), Al at (0.140, 0.750, 0.215) and Pd at (0.105, 0.250, 0.359).

--- two ---
A relaxed structure of ErAl3Pd. Source: the Alexandria database, functional GGA-PBE.

The structure belongs to space group P2_1/m (No. 11); the cell edges are 6.768, 4.167 and 6.864 Å and the angles 90.00°, 105.25° and 90.00°. Symmetry generates all atoms from Er at (0.192, 0.250, 0.171), Al at (0.073, 0.250, 0.648), Al at (0.317, 0.750, 0.900), Al at (0.339, 0.750, 0.515) and Pd at (0.454, 0.250, 0.741).

Relative to the most stable structure, the computed energies are one 0; two 8, all in meV per atom.

--- one ---
A relaxed structure of Er6Al2Pd. Source: the Alexandria database, functional GGA-PBE.

The structure belongs to space group Immm (No. 71); the cell edges are 4.911, 7.070 and 14.793 Å and the angles 90.00°, 90.00° and 90.00°. Symmetry generates all atoms from Er at (0.000, 0.240, 0.000), Er at (0.000, 0.256, 0.338), Al at (0.000, 0.500, 0.167) and Pd at (0.000, 0.500, 0.500).

--- two ---
A relaxed structure of Er6Al2Pd. Source: the Alexandria database, functional GGA-PBE.

The structure belongs to space group Immm (No. 71); the cell edges are 9.643, 9.668 and 9.961 Å and the angles 90.00°, 90.00° and 90.00°. Symmetry generates all atoms from Er at (0.000, 0.171, 0.219), Er at (0.173, 0.500, 0.243), Er at (0.189, 0.238, 0.500), Al at (0.000, 0.368, 0.000), Al at (0.137, 0.000, 0.000), Pd at (0.000, 0.000, 0.500) and Pd at (0.000, 0.500, 0.500).

Relative to the most stable structure, the computed energies are one 154; two 0, all in meV per atom.

--- one ---
A relaxed structure of ErAlPd6. Source: the Alexandria database, functional GGA-PBE.

The structure belongs to space group P4/mmm (No. 123); the cell edges are 4.037, 4.037 and 7.908 Å and the angles 90.00°, 90.00° and 90.00°. Symmetry generates all atoms from Er at (0.000, 0.000, 0.000), Al at (0.000, 0.000, 0.500), Pd at (0.000, 0.500, 0.267), Pd at (0.500, 0.500, 0.000) and Pd at (0.500, 0.500, 0.500).

--- two ---
A relaxed structure of ErAlPd6. Source: the Alexandria database, functional GGA-PBE.

The structure belongs to space group C2/m (No. 12); the cell edges are 8.033, 5.399 and 7.342 Å and the angles 90.00°, 112.08° and 90.00°. Symmetry generates all atoms from Er at (0.000, 0.000, 0.000), Al at (0.000, 0.500, 0.500), Pd at (0.158, 0.000, 0.445) and Pd at (0.184, 0.244, 0.789).

Relative to the most stable structure, the computed energies are one 0; two 307, all in meV per atom.

--- one ---
A relaxed structure of Er4Al3Pd. Source: the Alexandria database, functional GGA-PBE.

The structure belongs to space group P4/mmm (No. 123); the cell edges are 3.533, 3.533 and 14.312 Å and the angles 90.00°, 90.00° and 90.00°. Symmetry generates all atoms from Er at (0.000, 0.000, 0.117), Er at (0.000, 0.000, 0.372), Al at (0.500, 0.500, 0.246), Al at (0.500, 0.500, 0.500) and Pd at (0.500, 0.500, 0.000).

--- two ---
A relaxed structure of Er4Al3Pd. Source: the Alexandria database, functional GGA-PBE.

The structure belongs to space group Pmm2 (No. 25); the cell edges are 3.711, 4.463 and 11.307 Å and the angles 90.00°, 90.00° and 90.00°. Symmetry generates all atoms from Er at (0.000, 0.000, 0.000), Er at (0.000, 0.500, 0.284), Er at (0.500, 0.000, 0.477), Er at (0.500, 0.500, 0.796), Al at (0.000, 0.000, 0.706), Al at (0.000, 0.500, 0.568), Al at (0.500, 0.500, 0.067) and Pd at (0.500, 0.000, 0.211).

Relative to the most stable structure, the computed energies are one 0; two 17, all in meV per atom.

--- one ---
A relaxed structure of SmErAlPd. Source: the Alexandria database, functional GGA-PBE.

The structure belongs to space group Amm2 (No. 38); the cell edges are 4.495, 3.806 and 11.259 Å and the angles 90.00°, 90.00° and 90.00°. Symmetry generates all atoms from Sm at (0.000, 0.000, 0.000), Er at (0.500, 0.000, 0.290), Al at (0.000, 0.000, 0.721) and Pd at (0.500, 0.000, 0.583).

--- two ---
A relaxed structure of SmErAlPd. Source: the Alexandria database, functional GGA-PBE.

The structure belongs to space group F-43m (No. 216); the cell edges are 7.200, 7.200 and 7.200 Å and the angles 90.00°, 90.00° and 90.00°. Symmetry generates all atoms from Sm at (0.000, 0.000, 0.000), Er at (0.000, 0.000, 0.500), Al at (0.250, 0.250, 0.250) and Pd at (0.250, 0.250, 0.750).

Relative to the most stable structure, the computed energies are one 0; two 49, all in meV per atom.

--- one ---
A relaxed structure of PmEr6Al2. Source: the Alexandria database, functional GGA-PBE.

The structure belongs to space group C2/m (No. 12); the cell edges are 12.436, 3.652 and 11.686 Å and the angles 90.00°, 108.14° and 90.00°. Symmetry generates all atoms from Pm at (0.000, 0.000, 0.000), Er at (0.019, 0.000, 0.335), Er at (0.189, 0.500, 0.874), Er at (0.190, 0.500, 0.586) and Al at (0.149, 0.500, 0.213).

--- two ---
A relaxed structure of PmEr6Al2. Source: the Alexandria database, functional GGA-PBE.

The structure belongs to space group I-42m (No. 121); the cell edges are 4.758, 4.758 and 27.477 Å and the angles 90.00°, 90.00° and 90.00°. Symmetry generates all atoms from Pm at (0.000, 0.000, 0.000), Er at (0.000, 0.500, 0.250), Er at (0.248, 0.248, 0.104) and Al at (0.000, 0.000, 0.314).

Relative to the most stable structure, the computed energies are one 0; two 671, all in meV per atom.

--- one ---
A relaxed structure of Pm2Er2Al. Source: the Alexandria database, functional GGA-PBE.

The structure belongs to space group I4/mmm (No. 139); the cell edges are 4.268, 4.268 and 17.509 Å and the angles 90.00°, 90.00° and 90.00°. Symmetry generates all atoms from Pm at (0.000, 0.500, 0.250), Er at (0.000, 0.000, 0.086) and Al at (0.000, 0.000, 0.500).

--- two ---
A relaxed structure of Pm2Er2Al. Source: the Alexandria database, functional GGA-PBE.

The structure belongs to space group P6_3/mmc (No. 194); the cell edges are 5.3665, 5.3665 and 11.9211 Å and the angles 90.00°, 90.00° and 120.00°. Symmetry generates all atoms from Pm at (0.3333, 0.6667, 0.0930), Er at (0.0000, 0.0000, 0.0000), Er at (0.3333, 0.6667, 0.7500) and Al at (0.0000, 0.0000, 0.2500).

Relative to the most stable structure, the computed energies are one 449; two 0, all in meV per atom.

--- one ---
A relaxed structure of Pm5ErAl2. Source: the Alexandria database, functional GGA-PBE.

The structure belongs to space group P6_3/mmc (No. 194); the cell edges are 5.3955, 5.3955 and 19.9578 Å and the angles 90.00°, 90.00° and 120.00°. Symmetry generates all atoms from Pm at (0.0000, 0.0000, 0.1555), Pm at (0.3333, 0.6667, 0.0550), Pm at (0.3333, 0.6667, 0.2500), Er at (0.3333, 0.6667, 0.7500) and Al at (0.3333, 0.6667, 0.6016).

--- two ---
A relaxed structure of Pm5ErAl2. Source: the Alexandria database, functional GGA-PBE.

The structure belongs to space group Immm (No. 71); the cell edges are 3.625, 10.675 and 12.208 Å and the angles 90.00°, 90.00° and 90.00°. Symmetry generates all atoms from Pm at (0.000, 0.000, 0.000), Pm at (0.000, 0.281, 0.359), Er at (0.000, 0.500, 0.000) and Al at (0.000, 0.000, 0.278).

Relative to the most stable structure, the computed energies are one 27; two 0, all in meV per atom.

--- one ---
A relaxed structure of PmErAl6. Source: the Alexandria database, functional GGA-PBE.

The structure belongs to space group Pm-3 (No. 200); the cell edges are 5.533, 5.533 and 5.533 Å and the angles 90.00°, 90.00° and 90.00°. Symmetry generates all atoms from Pm at (0.000, 0.000, 0.000), Er at (0.500, 0.500, 0.500) and Al at (0.000, 0.251, 0.500).

--- two ---
A relaxed structure of PmErAl6. Source: the Alexandria database, functional GGA-PBE.

The structure belongs to space group P-6m2 (No. 187); the cell edges are 6.3057, 6.3057 and 4.6627 Å and the angles 90.00°, 90.00° and 120.00°. Symmetry generates all atoms from Pm at (0.0000, 0.0000, 0.0000), Er at (0.6667, 0.3333, 0.5000), Al at (0.0400, 0.5200, 0.0000) and Al at (0.1893, 0.3787, 0.5000).

Relative to the most stable structure, the computed energies are one 363; two 0, all in meV per atom.